(1)
This record from Alexandria via LeMat-Bulk describes a geometry-optimized Nb5CoRh4 structure. The functional is GGA-PBE.

Results
spin magnetization	0.0	μB/cell
raw total energy	-8.916	eV/atom
SG	P4/mmm
calculated formation energy	-0.230	eV/atom
volume	15.97	Å³/atom

Unit cell a=3.365 b=3.365 c=14.104 alpha=90.00 beta=90.00 gamma=90.00
Sites, in units of the cell vectors:
Rh 0.000 0.000 0.804
Rh 0.000 0.000 0.196
Rh 0.000 0.000 0.399
Rh 0.000 0.000 0.601
Nb 0.500 0.500 0.500
Nb 0.500 0.500 0.094
Nb 0.500 0.500 0.703
Nb 0.500 0.500 0.297
Nb 0.500 0.500 0.906
Co 0.000 0.000 0.000

(2)
This record from Alexandria via LeMat-Bulk describes a geometry-optimized VFe structure. The functional is GGA-PBE.

Results
spin magnetization	1.3	μB/cell
raw total energy	-8.892	eV/atom
SG	Cmmm
calculated formation energy	-0.101	eV/atom
volume	11.99	Å³/atom

Unit cell a=2.504 b=2.504 c=4.018 alpha=90.00 beta=90.00 gamma=72.21
Sites, in units of the cell vectors:
Fe 0.044 0.674 0.758
V 0.544 0.174 0.259

(3)
This record from Alexandria via LeMat-Bulk describes a geometry-optimized BiPtS2Cl structure. The functional is GGA-PBE.

Results
spin magnetization	0.0	μB/cell
energy relative to the lowest polymorph listed for this composition	0.000	eV per formula unit
formation energy without anion corrections	0.0841	eV/atom
raw total energy	-3.921	eV/atom
SG	P4/mmm
volume	21.82	Å³/atom

Unit cell a=4.783 b=4.783 c=4.770 alpha=90.00 beta=90.00 gamma=90.00
Sites, in units of the cell vectors:
S 0.500 0.000 0.000
S 0.000 0.500 0.000
Bi 0.500 0.500 0.500
Pt 0.000 0.000 0.000
Cl 0.000 0.000 0.500

(4)
This record from Alexandria via LeMat-Bulk describes a geometry-optimized HfCdTc2 structure. The functional is GGA-PBE.

Results
spin magnetization	0.0	μB/cell
raw total energy	-7.274	eV/atom
SG	I-42d
calculated formation energy	0.626	eV/atom
volume	19.99	Å³/atom

Unit cell a=4.065 b=4.065 c=10.096 alpha=78.39 beta=78.39 gamma=90.00
Sites, in units of the cell vectors:
Hf 0.750 0.250 0.500
Hf 0.000 0.000 0.000
Tc 0.875 0.960 0.750
Tc 0.375 0.290 0.750
Tc 0.040 0.625 0.250
Tc 0.710 0.125 0.250
Cd 0.500 0.500 0.000
Cd 0.250 0.750 0.500

(5)
This record from Alexandria via LeMat-Bulk describes a geometry-optimized CrCo2AsH structure. The functional is GGA-PBE.

Results
spin magnetization	2.2	μB/cell
raw total energy	-6.413	eV/atom
SG	P4/mmm
volume	9.85	Å³/atom

Unit cell a=3.625 b=3.625 c=3.750 alpha=90.00 beta=90.00 gamma=90.00
Sites, in units of the cell vectors:
Co 0.000 0.500 0.000
Co 0.500 0.000 0.000
Cr 0.000 0.000 0.500
As 0.500 0.500 0.500
H 0.000 0.000 0.000

(6)
This record from Alexandria via LeMat-Bulk describes a geometry-optimized Tl2Cd4In5 structure. The functional is GGA-PBE.

Results
spin magnetization	0.0	μB/cell
energy relative to the lowest polymorph listed for this composition	0.270	eV per formula unit
raw total energy	-1.948	eV/atom
SG	C2/m
calculated formation energy	0.060	eV/atom
volume	27.26	Å³/atom

Unit cell a=6.448 b=6.863 c=8.326 alpha=79.94 beta=67.22 gamma=61.98
Sites, in units of the cell vectors:
Tl 0.332 0.615 0.722
Tl 0.668 0.385 0.278
In 0.000 0.500 0.500
In 0.243 0.152 0.836
In 0.231 0.848 0.164
In 0.769 0.152 0.836
In 0.757 0.848 0.164
Cd 0.253 0.371 0.124
Cd 0.739 0.989 0.533
Cd 0.261 0.011 0.467
Cd 0.747 0.629 0.876

spin magnetization of number 5 (CrCo2AsH)?
2.2 μB/cell